A plane-wave DFT calculation with PBE-GGA was carried out for an optimized crystal structure of TbNd2Dy2Th2.

Structure (extended XYZ):
```
7
Lattice="3.4830 0.0000 0.0000 -1.7415 8.9491 -1.1414 0.0000 -3.1969 7.9365" Properties=species:S:1:pos:R:3 pbc="T T T"
Nd 0.0000 6.1071 -0.1534
Nd 1.7415 -0.3549 6.9485
Th 0.0000 5.2978 5.1558
Th 1.7415 0.4544 1.6393
Dy 0.0000 1.7790 4.4438
Dy 1.7415 3.9732 2.3513
Tb 0.0000 -1.5984 3.9682
```

Output
Formation energy from the elements: 1.20 eV/f.u.

***

A plane-wave DFT calculation with PBE-GGA was carried out for an optimized crystal structure of Tb3NdDy6Th2.

Structure (extended XYZ):
```
12
Lattice="-1.3124 4.6966 -3.8108 -4.5610 -2.9023 3.0127 3.0390 6.8434 9.0679" Properties=species:S:1:pos:R:3 pbc="T T T"
Dy -2.6548 5.2006 7.3728
Dy -3.6226 3.0378 1.6584
Dy -1.2778 0.8683 3.2037
Dy -0.1796 3.4371 0.8971
Dy -1.5566 7.7693 5.0661
Dy 0.7882 5.5999 6.6115
Tb -2.5013 1.7830 6.4120
Tb -0.3331 6.8547 1.8579
Tb -1.4172 4.3188 4.1349
Nd 0.0000 0.0000 0.0000
Th -3.4782 -0.3696 0.7385
Th -2.3952 2.1639 -1.5365
```

Output
Formation energy from the elements: 0.35 eV/f.u.

***

A plane-wave DFT calculation with PBE-GGA was carried out for an optimized crystal structure of TbNdDy5Th2.

Structure (extended XYZ):
```
18
Lattice="8.7640 0.0000 0.0000 0.0000 8.7640 0.0000 -4.3820 -4.3820 7.7664" Properties=species:S:1:pos:R:3 pbc="T T T"
Tb 4.3820 4.3820 3.8832
Tb 0.0000 0.0000 3.8832
Dy -1.8230 -2.5590 5.6069
Dy 6.2050 6.9410 2.1595
Dy 2.5590 -1.8230 5.6069
Dy -2.5590 1.8230 5.6069
Dy 1.8230 6.2050 2.1595
Dy 0.0000 0.0000 0.0000
Dy 2.5590 1.8230 2.1595
Dy 6.9410 2.5590 2.1595
Dy 4.3820 4.3820 0.0000
Dy 1.8230 2.5590 5.6069
Th 1.0472 3.3348 0.0000
Th 5.4292 1.0472 0.0000
Th 3.3348 7.7168 0.0000
Th 7.7168 5.4292 0.0000
Nd 0.0000 4.3820 3.8832
Nd 4.3820 0.0000 3.8832
```

Output
Formation energy from the elements: 2.94 eV/f.u.

***

A plane-wave DFT calculation with PBE-GGA was carried out for an optimized crystal structure of Tb4NdDy2Th.

Structure (extended XYZ):
```
8
Lattice="5.0672 0.0000 0.0000 0.0000 4.9485 1.0560 0.0000 2.8458 10.9182" Properties=species:S:1:pos:R:3 pbc="T T T"
Nd 2.5336 5.3200 11.4462
Th 0.0000 3.8971 5.9872
Tb 5.0672 1.9395 3.0331
Tb 0.0001 5.8548 8.9411
Tb 2.5336 4.4110 3.5660
Tb 2.5336 3.3833 8.4083
Dy 2.5336 1.4229 5.4591
Dy 0.0000 2.8458 10.9182
```

Output
Formation energy from the elements: 0.24 eV/f.u.

***

A plane-wave DFT calculation with PBE-GGA was carried out for an optimized crystal structure of TbNd2DyTh.

Structure (extended XYZ):
```
10
Lattice="6.4211 0.0000 0.0000 0.0000 8.3697 1.4324 0.0000 -1.1494 6.3007" Properties=species:S:1:pos:R:3 pbc="T T T"
Nd 4.5559 4.9176 5.7367
Nd 4.5559 1.7279 5.1467
Nd 1.8652 2.3026 1.9964
Nd 1.8652 5.4923 2.5864
Tb 0.0000 -0.5747 3.1503
Tb 0.0000 0.0000 0.0000
Th 3.5740 -0.2873 1.5752
Th 2.8472 -0.8620 4.7255
Dy 1.2042 3.3228 5.4417
Dy 5.2170 3.8975 2.2914
```

Output
Formation energy from the elements: 1.54 eV/f.u.

***

A plane-wave DFT calculation with PBE-GGA was carried out for an optimized crystal structure of Tb2NdDyTh.

Structure (extended XYZ):
```
10
Lattice="-5.5671 2.4160 -3.3789 -4.9873 -2.2345 6.6195 3.3383 6.4899 -0.8598" Properties=species:S:1:pos:R:3 pbc="T T T"
Dy -6.2889 3.1130 1.8784
Dy -0.9274 3.5583 0.5025
Th -1.3888 0.6232 -0.8360
Th -5.8274 6.0482 3.2168
Nd -3.4921 1.9890 3.6061
Nd -3.7241 4.6824 -1.2253
Tb -1.5806 -0.7082 2.0979
Tb -4.3642 0.4998 0.4085
Tb -3.4067 -1.5263 4.5216
Tb -6.1903 -0.3184 2.8322
```

Output
Formation energy from the elements: 2.15 eV/f.u.

***

A plane-wave DFT calculation with PBE-GGA was carried out for an optimized crystal structure of TbNdDyTh.

Structure (extended XYZ):
```
4
Lattice="-1.7236 2.9585 1.1330 1.2279 -2.3988 2.3956 10.8434 4.5116 -1.0414" Properties=species:S:1:pos:R:3 pbc="T T T"
Dy 2.1407 -1.4300 2.3446
Nd 2.7883 3.6083 1.6321
Th 9.5582 3.4907 0.7540
Tb 6.1273 3.9017 0.2106
```

Output
Formation energy from the elements: 0.05 eV/f.u.

***

A plane-wave DFT calculation with PBE-GGA was carried out for an optimized crystal structure of TbNd2DyTl2.

Structure (extended XYZ):
```
12
Lattice="5.1762 0.0000 0.0000 0.0000 6.8791 0.0000 0.0000 0.0000 10.2202" Properties=species:S:1:pos:R:3 pbc="T T T"
Tl 2.5881 1.4973 3.8151
Tl 2.5881 4.9369 6.4051
Tl 0.0000 2.0540 8.7414
Tl 0.0000 5.4936 1.4788
Tb 0.0000 3.1821 5.5310
Tb 0.0000 6.6217 4.6893
Nd 0.0000 2.2500 1.9053
Nd 0.0000 5.6896 8.3150
Nd 2.5881 3.8310 9.7863
Nd 2.5881 0.3915 0.4340
Dy 2.5881 4.6969 3.2370
Dy 2.5881 1.2574 6.9833
```

Output
Formation energy from the elements: -1.62 eV/f.u.

***

A plane-wave DFT calculation with PBE-GGA was carried out for an optimized crystal structure of Tb6Nd2Dy3Tl.

Structure (extended XYZ):
```
12
Lattice="6.1265 -0.0032 0.0003 -3.0645 5.3049 0.0003 -1.0278 -1.7797 11.5955" Properties=species:S:1:pos:R:3 pbc="T T T"
Tb 0.0305 3.5288 8.6892
Tb -0.0212 -0.0368 8.6754
Tb 2.0554 3.5588 2.9209
Tb 2.0036 -0.0067 2.9070
Tb 3.0413 1.7900 8.6892
Tb -1.0072 1.7321 2.9070
Dy 1.0171 1.7610 5.7981
Dy -2.0445 3.5292 5.7981
Dy 4.0786 -0.0072 5.7981
Nd 0.0035 3.5330 0.0003
Nd 3.0584 1.7687 0.0003
Tl 0.0000 0.0000 0.0000
```

Output
Formation energy from the elements: -0.36 eV/f.u.

***

A plane-wave DFT calculation with PBE-GGA was carried out for an optimized crystal structure of Tb4NdDy2Tl.

Structure (extended XYZ):
```
16
Lattice="-1.6642 -1.2461 2.9497 6.7025 -5.5446 -0.7685 9.6593 10.3170 9.8080" Properties=species:S:1:pos:R:3 pbc="T T T"
Dy 10.1125 1.7887 6.4608
Dy 4.5851 1.7377 5.5284
Dy 12.8839 4.7487 9.2748
Dy 1.8138 -1.2224 2.7144
Tb 6.8721 3.1119 7.3992
Tb 6.9881 6.5099 8.9001
Tb 0.0000 0.0000 0.0000
Tb 7.8255 0.4144 4.5900
Tb 7.7095 -2.9835 3.0891
Tb 10.1947 6.6607 10.7729
Tb 4.8297 5.1585 4.9040
Tb 4.5029 -3.1344 1.2163
Tl 11.0944 2.1956 9.3942
Tl 3.6032 1.3307 2.5950
Nd 9.8899 4.9585 7.6743
Nd 4.8078 -1.4321 4.3149
```

Output
Formation energy from the elements: 0.75 eV/f.u.

***

A plane-wave DFT calculation with PBE-GGA was carried out for an optimized crystal structure of Tb2Nd2Dy2Tl.

Structure (extended XYZ):
```
7
Lattice="3.5246 0.0000 0.0000 -1.7623 8.8849 -0.6164 0.0000 -3.4419 7.4188" Properties=species:S:1:pos:R:3 pbc="T T T"
Nd 1.7623 -0.5376 6.5023
Nd 0.0000 5.9806 0.3001
Tl 0.0000 -1.7209 3.7094
Dy 0.0000 1.6823 4.4033
Dy 1.7623 3.7607 2.3991
Tb 0.0000 5.1154 5.0696
Tb 1.7623 0.3276 1.7328
```

Output
Formation energy from the elements: 0.38 eV/f.u.

***

A plane-wave DFT calculation with PBE-GGA was carried out for an optimized crystal structure of Tb6Nd3Dy2Tl.

Structure (extended XYZ):
```
12
Lattice="6.1784 -0.0041 -0.0111 -3.0913 5.3495 -0.0111 -1.0183 -1.7631 11.5539" Properties=species:S:1:pos:R:3 pbc="T T T"
Tb 3.0815 1.8266 8.7225
Tb -1.0127 1.7556 2.8092
Tb 2.0745 3.5919 2.8148
Tb -0.0056 -0.0097 8.7170
Tb 2.0267 0.0002 2.8092
Tb 0.0421 3.5820 8.7225
Tl 0.0000 0.0000 0.0000
Nd 4.1161 0.0113 5.7659
Nd -2.0473 3.5709 5.7659
Nd 1.0344 1.7911 5.7659
Dy 3.0828 1.7837 -0.0111
Dy 0.0044 3.5616 -0.0111
```

Output
Formation energy from the elements: -0.15 eV/f.u.